# BaSr2CrO5

BaSr2CrO5 after structural relaxation (PBE+U, the Alexandria database).

Summary:
For the total energy, the calculation gives -6.6168 eV per atom. Its space group is No. 140.

```
BaSr2CrO5
1.0
-4.834 -3.107 4.153
5.181 -3.161 3.666
0.026 7.634 -0.310
Ba O Sr Cr
2 10 4 2
direct
0.750 0.750 0.500
0.250 0.250 0.500
0.788 0.013 0.301
0.513 0.288 0.301
0.212 0.987 0.699
0.000 0.000 0.000
0.500 0.500 0.000
0.013 0.513 0.301
0.987 0.487 0.699
0.288 0.788 0.301
0.712 0.212 0.699
0.487 0.712 0.699
0.183 0.317 0.000
0.317 0.817 0.000
0.683 0.183 0.000
0.817 0.683 0.000
0.250 0.750 0.500
0.750 0.250 0.500
```